{"formula": "La2ZnOs", "functional": "PBE", "state": "optimized geometry", "total_magnetization_mub_per_fu": 0.00, "final_energy_ev_per_atom": -5.674, "dos_at_fermi_per_ev_cell": 3.3, "rho_kg_m3": 9159, "lattice": [[5.140, 0.002, 0.006], [-0.004, 5.140, 0.006], [-0.005, -0.005, 3.661]], "species": ["Os", "Zn", "La", "La"], "frac_coords": [[0.500, 0.000, 0.500], [0.000, 0.500, 0.500], [0.500, 0.500, 0.000], [0.000, 0.000, 0.000]]}